# KSrSn2 (GGA-PBE, relaxed)
# ΔE to the lowest computed polymorph, eV/atom: 0.000
# DOS at the Fermi energy, states/eV per atom: 0.315
# Calculated formation energy, meV/atom: -468
data_KSrSn2
_cell_length_a 4.984
_cell_length_b 7.594
_cell_length_c 8.488
_cell_angle_alpha 90.00
_cell_angle_beta 107.01
_cell_angle_gamma 90.00
_symmetry_space_group_name_H-M 'P 1 21/m 1'
_symmetry_Int_Tables_number 11
_symmetry_space_group_name_Hall '-P 2yb'
loop_
_atom_site_label
_atom_site_type_symbol
_atom_site_fract_x
_atom_site_fract_y
_atom_site_fract_z
K1 K 0.228 0.250 0.457
Sr1 Sr 0.043 0.750 0.086
Sn1 Sn 0.413 0.556 0.825

=====

# Ba2InPb6Au (GGA-PBE, relaxed)
# DOS at the Fermi energy, states/eV per atom: 0.679
# Calculated formation energy, meV/atom: -181
data_Ba2InPb6Au
_cell_length_a 7.6292
_cell_length_b 7.6292
_cell_length_c 42.7813
_cell_angle_alpha 90.00
_cell_angle_beta 90.00
_cell_angle_gamma 120.00
_symmetry_space_group_name_H-M 'R -3 m'
_symmetry_Int_Tables_number 166
_symmetry_space_group_name_Hall '-R 3 2"'
loop_
_atom_site_label
_atom_site_type_symbol
_atom_site_fract_x
_atom_site_fract_y
_atom_site_fract_z
Ba1 Ba 0.0000 0.0000 0.1141
Ba2 Ba 0.0000 0.0000 0.2890
In1 In 0.0000 0.0000 0.4277
Pb1 Pb 0.0388 0.5194 0.2963
Pb2 Pb 0.0557 0.5279 0.8667
Au1 Au 0.0000 0.0000 0.0000
Au2 Au 0.0000 0.0000 0.5000

=====

# CsNaSbSe3 (GGA-PBE, relaxed)
# Energy relative to the elements, uncorrected, eV/atom: -0.7219
# DOS at the Fermi energy, states/eV per atom: 0.145
data_CsNaSbSe3
_cell_length_a 7.712
_cell_length_b 14.641
_cell_length_c 7.463
_cell_angle_alpha 90.00
_cell_angle_beta 90.00
_cell_angle_gamma 90.00
_symmetry_space_group_name_H-M 'C m c m'
_symmetry_Int_Tables_number 63
_symmetry_space_group_name_Hall '-C 2c 2'
loop_
_atom_site_label
_atom_site_type_symbol
_atom_site_fract_x
_atom_site_fract_y
_atom_site_fract_z
Cs1 Cs 0.000 0.234 0.250
Na1 Na 0.000 0.087 0.750
Sb1 Sb 0.000 0.455 0.750
Se1 Se 0.000 0.282 0.750
Se2 Se 0.247 0.000 0.000

=====

# CeThO (GGA-PBE, relaxed)
# Energy relative to the elements, uncorrected, eV/atom: -1.5845
# ΔE to the lowest computed polymorph, eV/atom: 0.000
# DOS at the Fermi energy, states/eV per atom: 1.949
data_CeThO
_cell_length_a 3.7183
_cell_length_b 3.7183
_cell_length_c 5.8113
_cell_angle_alpha 90.00
_cell_angle_beta 90.00
_cell_angle_gamma 120.00
_symmetry_space_group_name_H-M 'P 3 m 1'
_symmetry_Int_Tables_number 156
_symmetry_space_group_name_Hall 'P 3 -2"'
loop_
_atom_site_label
_atom_site_type_symbol
_atom_site_fract_x
_atom_site_fract_y
_atom_site_fract_z
Ce1 Ce 0.0000 0.0000 0.0000
Th1 Th 0.6667 0.3333 0.5348
O1 O 0.3333 0.6667 0.7663